No. 1
Compound: ErPtAu
Source: Alexandria via LeMat-Bulk
Functional: GGA-PBE
Structure: optimized geometry

a = 3.6530 Å, b = 3.6530 Å, c = 8.9892 Å
α = 90.00°, β = 90.00°, γ = 90.00°
Space group I4mm (No. 107)
Inequivalent atoms, fractional coordinates:
Er: 0.0000 0.0000 0.0000 x2
Pt: 0.0000 0.0000 0.3461 x2
Au: 0.0000 0.0000 0.6721 x2

Output
**Total DFT energy (no corrections)**: -5.59 eV/atom
**Formation energy**: -966 meV/atom
**Distance to the lowest polymorph of the same formula**: 19 meV/atom


No. 2
Compound: Er2Pt2Au
Source: Alexandria via LeMat-Bulk
Functional: GGA-PBE
Structure: optimized geometry

a = 7.5662 Å, b = 7.5662 Å, c = 3.6795 Å
α = 90.00°, β = 90.00°, γ = 90.00°
Space group P4/mbm (No. 127)
Inequivalent atoms, fractional coordinates:
Er: 0.1690 0.3310 0.0000 x4
Pt: 0.1321 0.6321 0.5000 x4
Au: 0.0000 0.0000 0.5000 x2

Output
**Total DFT energy (no corrections)**: -6.04 eV/atom
**Formation energy**: -1139 meV/atom


No. 3
Compound: Er4Pt2Au
Source: Alexandria via LeMat-Bulk
Functional: GGA-PBE
Structure: optimized geometry

a = 4.8674 Å, b = 4.8674 Å, c = 24.4460 Å
α = 90.00°, β = 90.00°, γ = 120.00°
Space group R-3m (No. 166, hexagonal axes)
Inequivalent atoms, fractional coordinates:
Er: 0.0000 0.0000 0.1223 x6
Er: 0.0000 0.0000 0.3731 x6
Pt: 0.0000 0.0000 0.2552 x6
Au: 0.0000 0.0000 0.5000 x3

Output
**Total DFT energy (no corrections)**: -5.81 eV/atom
**Formation energy**: -1005 meV/atom


No. 4
Compound: ErPt3Au
Source: Alexandria via LeMat-Bulk
Functional: GGA-PBE
Structure: optimized geometry

a = 4.6076 Å, b = 5.7837 Å, c = 7.2056 Å
α = 90.00°, β = 90.00°, γ = 90.00°
Space group Pmmn (No. 59, origin choice 2)
Inequivalent atoms, fractional coordinates:
Er: 0.2500 0.2500 0.1739 x2
Pt: 0.2500 0.0219 0.7579 x4
Pt: 0.2500 0.7500 0.0800 x2
Au: 0.2500 0.7500 0.4511 x2

Output
**Total DFT energy (no corrections)**: -5.77 eV/atom
**Formation energy**: -579 meV/atom
**Distance to the lowest polymorph of the same formula**: 0 meV/atom


Number 1: size of the total moment 0.00 Bohr magnetons per cell. Number 2: size of the total moment 0.00 Bohr magnetons per cell. Number 3: size of the total moment 0.00 Bohr magnetons per cell. Number 4: size of the total moment 0.00 Bohr magnetons per cell.